Record 1
CuMoO4: optimized geometry, PBE with a Hubbard U.

The structure in POSCAR format:
```
CuMoO4
1.0
-7.354 -2.862 -2.624
4.994 1.104 -7.244
3.204 -9.000 0.837
O Mo Cu
32 8 8
direct
0.353 0.239 0.617 O
0.936 0.398 0.281 O
0.268 0.633 0.390 O
0.025 0.065 0.853 O
0.378 0.850 0.606 O
0.878 0.350 0.894 O
0.732 0.367 0.610 O
0.122 0.650 0.106 O
0.853 0.739 0.883 O
0.564 0.102 0.781 O
0.951 0.115 0.388 O
0.973 0.714 0.392 O
0.064 0.602 0.719 O
0.975 0.935 0.147 O
0.647 0.761 0.383 O
0.473 0.214 0.108 O
0.527 0.786 0.892 O
0.451 0.615 0.112 O
0.475 0.435 0.353 O
0.436 0.898 0.219 O
0.232 0.867 0.890 O
0.261 0.082 0.359 O
0.147 0.261 0.117 O
0.049 0.885 0.612 O
0.027 0.286 0.608 O
0.525 0.565 0.647 O
0.549 0.385 0.888 O
0.768 0.133 0.110 O
0.622 0.150 0.394 O
0.761 0.582 0.141 O
0.239 0.418 0.859 O
0.739 0.918 0.641 O
0.963 0.122 0.188 Mo
0.037 0.878 0.812 Mo
0.045 0.408 0.771 Mo
0.537 0.378 0.688 Mo
0.545 0.908 0.729 Mo
0.955 0.592 0.229 Mo
0.463 0.622 0.312 Mo
0.455 0.092 0.271 Mo
0.839 0.820 0.500 Cu
0.339 0.320 0.000 Cu
0.174 0.762 0.508 Cu
0.326 0.738 0.008 Cu
0.826 0.238 0.492 Cu
0.161 0.180 0.500 Cu
0.661 0.680 0.000 Cu
0.674 0.262 0.992 Cu
```

Results
- energy relative to the lowest polymorph listed for this composition (meV/atom) = 2.9
- crystal system = monoclinic

Record 2
Cu2Mo2O7: optimized geometry, PBE with a Hubbard U.

The structure in POSCAR format:
```
Cu2Mo2O7
1.0
-0.852 2.951 -4.645
-0.561 -5.546 -1.469
-4.937 0.178 2.970
O Mo Cu
7 2 2
direct
0.723 0.367 0.024 O
0.774 0.575 0.575 O
0.226 0.425 0.425 O
0.277 0.633 0.976 O
0.277 0.976 0.633 O
0.723 0.024 0.367 O
0.000 0.000 0.000 O
0.082 0.788 0.788 Mo
0.918 0.212 0.212 Mo
0.500 0.320 0.680 Cu
0.500 0.680 0.320 Cu
```

Results
- crystal system = monoclinic
- final energy (eV per atom) = -6.38

Record 3
CuMoO4: optimized geometry, PBE with a Hubbard U.

The structure in POSCAR format:
```
CuMoO4
1.0
4.709 0.000 0.000
0.000 5.709 0.255
0.000 -2.051 4.999
Mo O Cu
2 8 2
direct
0.500 0.500 0.000 Mo
0.000 0.000 0.000 Mo
0.296 0.422 0.691 O
0.204 0.922 0.691 O
0.796 0.078 0.309 O
0.299 0.822 0.150 O
0.799 0.678 0.850 O
0.704 0.578 0.309 O
0.201 0.322 0.150 O
0.701 0.178 0.850 O
0.500 0.000 0.500 Cu
0.000 0.500 0.500 Cu
```

Results
- energy relative to the lowest polymorph listed for this composition (meV/atom) = 85.5
- crystal system = monoclinic

Record 4
CuMo2O8: optimized geometry, PBE with a Hubbard U.

The structure in POSCAR format:
```
CuMo2O8
1.0
5.679 -1.146 0.251
-1.711 5.551 0.382
0.205 -0.828 5.268
O Cu Mo
8 1 2
direct
0.521 0.757 0.832 O
0.229 0.538 0.420 O
0.771 0.462 0.580 O
0.185 0.957 0.717 O
0.007 0.305 0.917 O
0.479 0.243 0.168 O
0.815 0.043 0.283 O
0.993 0.695 0.083 O
0.000 0.000 0.000 Cu
0.795 0.364 0.256 Mo
0.205 0.636 0.744 Mo
```

Results
- energy relative to the lowest polymorph listed for this composition (meV/atom) = 0.0
- crystal system = triclinic

The magnetic moment results, record by record, are as follows: 0.17; 0.00; 0.15; 0.10 μB/atom.